ErTmFe4 | GGA-PBE | relaxed

Spin magnetization in μB/f.u.: 6.47
Calculated density in g/cm³: 10.0
DFT total energy in eV per cell: -43.68
DFT formation energy in kJ/mol of formula units: -76

abc: 5.0868 5.0868 5.0868
angles: 60.00 60.00 60.00
Fractional positions:
Fe 0.6250 0.1249 0.6250
Fe 0.6250 0.6250 0.1249
Er 0.2500 0.2500 0.2500
Fe 0.1249 0.6250 0.6250
Fe 0.6250 0.6250 0.6250
Tm 0.0000 0.0000 0.0000

Er2Tm3Fe2 | GGA-PBE | relaxed

Spin magnetization in μB/f.u.: 3.38
Calculated density in g/cm³: 9.2
DFT total energy in eV per cell: -39.20
DFT formation energy in kJ/mol of formula units: 25

abc: 3.5211 10.2840 6.3263
angles: 53.08 73.86 90.01
Fractional positions:
Tm 0.8289 0.2873 0.3422
Fe 0.6745 0.9385 0.6512
Er 0.4023 0.6374 0.1957
Tm 0.1711 0.7127 0.6578
Fe 0.3255 0.0615 0.3488
Tm 0.0000 0.0000 0.0000
Er 0.5977 0.3626 0.8043

Er2TmFe | GGA-PBE | relaxed

Spin magnetization in μB/f.u.: 0.00
Calculated density in g/cm³: 9.5
DFT total energy in eV per cell: -44.36
DFT formation energy in kJ/mol of formula units: -11
Distance to the lowest polymorph of the same formula in meV/atom: 11

abc: 3.7430 6.1368 8.9436
angles: 90.00 90.00 107.75
Fractional positions:
Fe 0.2586 0.5167 0.2500
Fe 0.7414 0.4833 0.7500
Tm 0.9200 0.8396 0.2500
Er 0.3568 0.7137 0.9319
Er 0.6432 0.2863 0.4319
Er 0.6432 0.2863 0.0681
Tm 0.0800 0.1604 0.7500
Er 0.3568 0.7137 0.5681

Er6Tm2Fe | GGA-PBE | relaxed

Spin magnetization in μB/f.u.: 2.22
Calculated density in g/cm³: 8.9
DFT total energy in eV per cell: -42.74
DFT formation energy in kJ/mol of formula units: 197

abc: 3.4451 9.0657 9.5382
angles: 118.37 90.00 90.00
Fractional positions:
Tm 0.5000 0.3204 0.6409
Er 0.5000 0.2798 0.0000
Fe 0.0000 0.0000 0.0000
Er 0.0000 0.9874 0.3194
Tm 0.5000 0.6796 0.3591
Er 0.0000 0.0126 0.6806
Er 0.0000 0.6680 0.6806
Er 0.5000 0.7202 0.0000
Er 0.0000 0.3320 0.3194

ErTm2Fe | GGA-PBE | relaxed

Spin magnetization in μB/f.u.: 0.00
Calculated density in g/cm³: 9.6
DFT total energy in eV per cell: -21.76
DFT formation energy in kJ/mol of formula units: 20
Distance to the lowest polymorph of the same formula in meV/atom: 99

abc: 3.3082 3.3082 8.8300
angles: 90.00 90.00 90.00
Fractional positions:
Tm 0.0000 0.0000 0.8203
Tm 0.0000 0.0000 0.1797
Fe 0.5000 0.5000 0.0000
Er 0.5000 0.5000 0.5000

Er3Tm2Fe2 | GGA-PBE | relaxed

Spin magnetization in μB/f.u.: 3.38
Calculated density in g/cm³: 9.2
DFT total energy in eV per cell: -39.28
DFT formation energy in kJ/mol of formula units: 27

abc: 3.5386 10.2984 6.3328
angles: 52.95 73.82 90.04
Fractional positions:
Er 0.0000 0.0000 0.0000
Tm 0.5973 0.3624 0.8041
Er 0.1703 0.7107 0.6609
Fe 0.3241 0.0609 0.3506
Tm 0.4027 0.6376 0.1959
Er 0.8297 0.2893 0.3391
Fe 0.6759 0.9391 0.6494

Er2Tm5Fe2 | GGA-PBE | relaxed

Spin magnetization in μB/f.u.: 1.19
Calculated density in g/cm³: 9.2
DFT total energy in eV per cell: -96.32
DFT formation energy in kJ/mol of formula units: 24

abc: 6.9373 6.8820 10.3451
angles: 90.00 70.41 90.00
Fractional positions:
Tm 0.9256 0.3208 0.7851
Fe 0.3890 0.8935 0.0000
Er 0.2666 0.5000 0.4667
Er 0.7666 0.0000 0.4667
Tm 0.5000 0.5000 0.0000
Er 0.2334 0.0000 0.5333
Tm 0.7893 0.8208 0.7851
Fe 0.6110 0.1065 0.0000
Tm 0.0744 0.6792 0.2149
Tm 0.7107 0.3208 0.2149
Tm 0.2893 0.6792 0.7851
Tm 0.5744 0.8208 0.2149
Tm 0.4256 0.1792 0.7851
Fe 0.1110 0.3935 0.0000
Er 0.7334 0.5000 0.5333
Fe 0.8890 0.6065 0.0000
Tm 0.2107 0.1792 0.2149
Tm 0.0000 0.0000 0.0000

Er2TmFe9 | GGA-PBE | relaxed

Spin magnetization in μB/f.u.: 16.40
Calculated density in g/cm³: 9.4
DFT total energy in eV per cell: -91.00
DFT formation energy in kJ/mol of formula units: -120

abc: 5.0516 5.0516 8.5399
angles: 72.80 72.80 60.00
Fractional positions:
Er 0.1418 0.1418 0.5746
Fe 0.9189 0.4183 0.2446
Fe 0.4183 0.4183 0.2446
Fe 0.0811 0.5817 0.7554
Fe 0.5817 0.5817 0.7554
Fe 0.6671 0.6671 0.9988
Tm 0.0000 0.0000 0.0000
Fe 0.3329 0.3329 0.0012
Er 0.8582 0.8582 0.4254
Fe 0.5817 0.0811 0.7554
Fe 0.5000 0.5000 0.5000
Fe 0.4183 0.9189 0.2446

ErTm2Fe | GGA-PBE | relaxed

Spin magnetization in μB/f.u.: 1.36
Calculated density in g/cm³: 9.2
DFT total energy in eV per cell: -21.21
DFT formation energy in kJ/mol of formula units: 74
Distance to the lowest polymorph of the same formula in meV/atom: 237

abc: 3.4712 3.4712 9.9319
angles: 79.94 79.94 60.00
Fractional positions:
Fe 0.0000 0.0000 0.0000
Er 0.5000 0.5000 0.5000
Tm 0.2701 0.2701 0.1897
Tm 0.7299 0.7299 0.8103

Er2TmFe | GGA-PBE | relaxed

Spin magnetization in μB/f.u.: 0.00
Calculated density in g/cm³: 9.5
DFT total energy in eV per cell: -88.89
DFT formation energy in kJ/mol of formula units: -16
Distance to the lowest polymorph of the same formula in meV/atom: 0

abc: 6.1662 7.0086 9.0198
angles: 90.00 90.00 90.00
Fractional positions:
Er 0.3276 0.1744 0.4341
Er 0.6724 0.8256 0.9341
Fe 0.5330 0.1117 0.7500
Er 0.3276 0.1744 0.0659
Er 0.1724 0.6744 0.0659
Er 0.6724 0.8256 0.5659
Fe 0.4670 0.8883 0.2500
Fe 0.0330 0.3883 0.2500
Er 0.8276 0.3256 0.9341
Tm 0.6374 0.5474 0.2500
Tm 0.8626 0.0474 0.2500
Fe 0.9670 0.6117 0.7500
Er 0.1724 0.6744 0.4341
Tm 0.3626 0.4526 0.7500
Tm 0.1374 0.9526 0.7500
Er 0.8276 0.3256 0.5659

ErTm3Fe8 | GGA-PBE | relaxed

Spin magnetization in μB/f.u.: 12.60
Calculated density in g/cm³: 10.0
DFT total energy in eV per cell: -87.33
DFT formation energy in kJ/mol of formula units: -160

abc: 5.0834 5.0834 8.7838
angles: 73.18 73.18 60.00
Fractional positions:
Tm 0.3750 0.3750 0.8749
Fe 0.9378 0.4376 0.1870
Tm 0.4999 0.4999 0.5003
Fe 0.9375 0.4371 0.6880
Fe 0.4376 0.9378 0.1870
Tm 0.0000 0.0000 0.9999
Fe 0.1874 0.1874 0.4377
Fe 0.9375 0.9375 0.6880
Fe 0.6876 0.6876 0.9374
Fe 0.4376 0.4376 0.1870
Fe 0.4371 0.9375 0.6880
Er 0.8750 0.8750 0.3749

ErTm2Fe | GGA-PBE | relaxed

Spin magnetization in μB/f.u.: 0.00
Calculated density in g/cm³: 9.6
DFT total energy in eV per cell: -44.22
DFT formation energy in kJ/mol of formula units: -13
Distance to the lowest polymorph of the same formula in meV/atom: 12

abc: 3.7233 6.1503 8.9277
angles: 90.00 90.00 107.62
Fractional positions:
Tm 0.3561 0.7121 0.9319
Fe 0.7415 0.4836 0.7500
Er 0.0795 0.1594 0.7500
Tm 0.3561 0.7121 0.5681
Tm 0.6439 0.2879 0.0681
Fe 0.2585 0.5164 0.2500
Er 0.9205 0.8406 0.2500
Tm 0.6439 0.2879 0.4319

What did the fifth record say?
ErTm2Fe | GGA-PBE | relaxed

Spin magnetization in μB/f.u.: 0.00
Calculated density in g/cm³: 9.6
DFT total energy in eV per cell: -21.76
DFT formation energy in kJ/mol of formula units: 20
Distance to the lowest polymorph of the same formula in meV/atom: 99

abc: 3.3082 3.3082 8.8300
angles: 90.00 90.00 90.00
Fractional positions:
Tm 0.0000 0.0000 0.8203
Tm 0.0000 0.0000 0.1797
Fe 0.5000 0.5000 0.0000
Er 0.5000 0.5000 0.5000

Q: Number 4 is which compound?
A: Er6Tm2Fe

Q: What is the formula in the fifth record?
A: ErTm2Fe

Repeat the first record exactly.
ErTmFe4 | GGA-PBE | relaxed

Spin magnetization in μB/f.u.: 6.47
Calculated density in g/cm³: 10.0
DFT total energy in eV per cell: -43.68
DFT formation energy in kJ/mol of formula units: -76

abc: 5.0868 5.0868 5.0868
angles: 60.00 60.00 60.00
Fractional positions:
Fe 0.6250 0.1249 0.6250
Fe 0.6250 0.6250 0.1249
Er 0.2500 0.2500 0.2500
Fe 0.1249 0.6250 0.6250
Fe 0.6250 0.6250 0.6250
Tm 0.0000 0.0000 0.0000